{"formula": "W2Au", "functional": "GGA-PBE", "state": "optimized geometry", "cell": [[-3.6262, -3.3872, 0.6484], [-4.7742, 1.4082, -0.5162], [4.5397, -0.5825, -2.0234]], "species": ["W", "W", "Au"], "frac_coords": [[0.6690, 0.6690, 0.0000], [0.3310, 0.3310, 0.0000], [0.0000, 0.0000, 0.0000]], "e_above_lowest_polymorph_mev_per_atom": 41, "e_form_kcal_per_mol_atoms": 9.4, "magnetic_moment_mub_per_cell": 0.00}